Computed, not measured: an optimized crystal structure of ScSn2Pd at the PBE-GGA level of DFT.

Cell lengths 3.2823, 3.2823, 7.6205 Å; angles 90.00, 90.00, 90.00 degrees
Sites, in units of the cell vectors:
Sc 0.0000 0.0000 0.0000
Sn 0.5000 0.5000 0.2712
Sn 0.5000 0.5000 0.7288
Pd 0.0000 0.0000 0.5000

## Properties
- SG: No. 123

=====

Computed, not measured: an optimized crystal structure of Sc3Sn2Pd at the PBE-GGA level of DFT.

Cell lengths 11.5757, 4.4563, 10.3580 Å; angles 90.00, 90.00, 90.00 degrees
Sites, in units of the cell vectors:
Sc 0.0515 0.2500 0.1384
Sc 0.1466 0.7500 0.5749
Sc 0.2367 0.2500 0.8033
Sc 0.2633 0.7500 0.3033
Sc 0.3534 0.2500 0.0749
Sc 0.4485 0.7500 0.6384
Sc 0.5515 0.2500 0.3616
Sc 0.6466 0.7500 0.9251
Sc 0.7367 0.2500 0.6967
Sc 0.7633 0.7500 0.1967
Sc 0.8534 0.2500 0.4251
Sc 0.9485 0.7500 0.8616
Sn 0.0062 0.2500 0.6773
Sn 0.1746 0.7500 0.0103
Sn 0.3254 0.2500 0.5103
Sn 0.4938 0.7500 0.1773
Sn 0.5062 0.2500 0.8227
Sn 0.6746 0.7500 0.4897
Sn 0.8254 0.2500 0.9897
Sn 0.9938 0.7500 0.3227
Pd 0.1134 0.2500 0.3986
Pd 0.3866 0.7500 0.8986
Pd 0.6134 0.2500 0.1014
Pd 0.8866 0.7500 0.6014

## Properties
- SG: No. 62

=====

Computed, not measured: an optimized crystal structure of ScSnPd14 at the PBE-GGA level of DFT.

Cell lengths 5.6785, 5.6785, 7.8599 Å; angles 90.00, 90.00, 90.00 degrees
Sites, in units of the cell vectors:
Sc 0.0000 0.0000 0.0000
Sn 0.5000 0.5000 0.0000
Pd 0.0000 0.0000 0.5000
Pd 0.0000 0.5000 0.0000
Pd 0.0000 0.5000 0.5000
Pd 0.2491 0.2491 0.2504
Pd 0.2491 0.2491 0.7496
Pd 0.2491 0.7509 0.2504
Pd 0.2491 0.7509 0.7496
Pd 0.5000 0.0000 0.0000
Pd 0.5000 0.0000 0.5000
Pd 0.5000 0.5000 0.5000
Pd 0.7509 0.2491 0.2504
Pd 0.7509 0.2491 0.7496
Pd 0.7509 0.7509 0.2504
Pd 0.7509 0.7509 0.7496

## Properties
- SG: No. 123

=====

Computed, not measured: an optimized crystal structure of ScSnPd5 at the PBE-GGA level of DFT.

Cell lengths 6.9094, 6.9094, 6.9094 Å; angles 108.18, 104.73, 115.70 degrees
Sites, in units of the cell vectors:
Sc 0.4183 0.1683 0.2500
Sc 0.5817 0.8317 0.7500
Sn 0.0000 0.5000 0.5000
Sn 0.5000 0.5000 0.0000
Pd 0.0609 0.8109 0.2500
Pd 0.2489 0.2945 0.5456
Pd 0.2489 0.7033 0.9544
Pd 0.2515 0.0000 0.7515
Pd 0.2515 0.5000 0.2515
Pd 0.7485 0.0000 0.2485
Pd 0.7485 0.5000 0.7485
Pd 0.7511 0.2967 0.0456
Pd 0.7511 0.7055 0.4544
Pd 0.9391 0.1891 0.7500

## Properties
- Distance to the lowest polymorph of the same formula: 190 meV/atom
- SG: No. 74

=====

Computed, not measured: an optimized crystal structure of Sc2Sn5Pd12 at the PBE-GGA level of DFT.

Cell lengths 8.6722, 8.6722, 5.1962 Å; angles 104.29, 104.29, 64.55 degrees
Sites, in units of the cell vectors:
Sc 0.2290 0.7710 0.0000
Sc 0.7710 0.2290 0.0000
Sn 0.0000 0.0000 0.5000
Sn 0.2182 0.2182 0.4928
Sn 0.3653 0.3653 0.1361
Sn 0.6347 0.6347 0.8639
Sn 0.7818 0.7818 0.5072
Pd 0.0713 0.5288 0.7993
Pd 0.1424 0.6564 0.3987
Pd 0.1483 0.1483 0.9557
Pd 0.3436 0.8576 0.6013
Pd 0.4377 0.4377 0.7073
Pd 0.4712 0.9287 0.2007
Pd 0.5288 0.0713 0.7993
Pd 0.5623 0.5623 0.2927
Pd 0.6564 0.1424 0.3987
Pd 0.8517 0.8517 0.0443
Pd 0.8576 0.3436 0.6013
Pd 0.9287 0.4712 0.2007

## Properties
- SG: No. 12

=====

Computed, not measured: an optimized crystal structure of ScSn2Pd at the PBE-GGA level of DFT.

Cell lengths 7.7935, 7.7935, 5.9766 Å; angles 90.00, 90.00, 90.00 degrees
Sites, in units of the cell vectors:
Sc 0.0000 0.0000 0.0000
Sc 0.0000 0.5000 0.2500
Sc 0.5000 0.0000 0.7500
Sc 0.5000 0.5000 0.5000
Sn 0.2129 0.2500 0.6250
Sn 0.2500 0.7129 0.8750
Sn 0.2500 0.7871 0.3750
Sn 0.2871 0.2500 0.1250
Sn 0.7129 0.7500 0.1250
Sn 0.7500 0.2129 0.3750
Sn 0.7500 0.2871 0.8750
Sn 0.7871 0.7500 0.6250
Pd 0.0000 0.0000 0.5000
Pd 0.0000 0.5000 0.7500
Pd 0.5000 0.0000 0.2500
Pd 0.5000 0.5000 0.0000

## Properties
- SG: No. 122

=====

| no. | DFT formation energy (kJ/mol of atoms) | size of the total moment (Bohr magnetons per cell) | electronic total energy (eV/cell) |
| --- | --- | --- | --- |
| 1 | -45 | 0.000 | -21.4 |
| 2 | -69 | 0.001 | -145.9 |
| 3 | -32 | 0.000 | -88.3 |
| 4 | -48 | 0.000 | -79.6 |
| 5 | -57 | 0.000 | -106.2 |
| 6 | -39 | 0.000 | -84.6 |